No. 1
SmAl4OsAu2, relaxed, DFT PBE; magnetic moment = 0.000 μB/cell; SG = R-3m; VASP energy = -5.112 eV per atom
1.0
-1.2912 4.1280 0.2969
-3.8874 0.9403 1.6732
1.9529 2.2481 8.8905
Al Au Sm Os
4 2 1 1
direct
0.8621 0.8621 0.4138 Al
0.4036 0.4036 0.7891 Al
0.5964 0.5964 0.2109 Al
0.1379 0.1379 0.5862 Al
0.2413 0.2413 0.2762 Au
0.7587 0.7587 0.7238 Au
0.0000 0.0000 0.0000 Sm
0.5000 0.5000 0.5000 Os

No. 2
AlSnOs2Au, relaxed, DFT PBE; magnetic moment = 1.757 μB/cell; SG = P4/mmm; VASP energy = -5.186 eV per atom
1.0
4.5232 0.0000 0.0000
0.0000 4.9601 0.0000
0.0000 0.0000 4.5232
Os Sn Au Al
2 1 1 1
direct
0.0000 0.0000 0.5000 Os
0.5000 0.0000 0.0000 Os
0.0000 0.5000 0.0000 Sn
0.5000 0.5000 0.5000 Au
0.0000 0.0000 0.0000 Al

No. 3
ZrAl2OsAu, relaxed, DFT PBE; magnetic moment = 0.756 μB/cell; SG = P4/mmm; VASP energy = -5.697 eV per atom
1.0
4.5640 0.0000 0.0000
0.0000 5.1733 0.0000
0.0000 0.0000 4.5640
Au Al Zr Os
1 2 1 1
direct
0.0000 0.5000 0.0000 Au
0.0000 0.0000 0.5000 Al
0.5000 0.0000 0.0000 Al
0.5000 0.5000 0.5000 Zr
0.0000 0.0000 0.0000 Os

No. 4
Al2PAu, relaxed, DFT PBE; magnetic moment = 0.000 μB/cell; SG = Pmmm; VASP energy = -4.032 eV per atom
1.0
-0.2967 3.4961 -1.2582
-5.2225 -0.8571 -1.1501
-0.8901 1.0875 3.2315
Al Au P
2 1 1
direct
0.0000 0.0000 0.0000 Al
0.5000 0.5000 0.0000 Al
0.5000 0.0000 0.5000 Au
0.0000 0.5000 0.5000 P